Entry 1:
# KLiCu

KLiCu after structural relaxation (PBE-GGA, Alexandria via LeMat-Bulk).

Unit cell a=5.1621 b=5.1621 c=5.1621 alpha=60.00 beta=60.00 gamma=60.00
Sites, in units of the cell vectors:
K 0.0000 0.0000 0.0000
Li 0.5000 0.5000 0.5000
Cu 0.7500 0.7500 0.7500

Computed properties:
Energy relative to the lowest polymorph listed for this composition (meV per atom): 176
ΔH_f (0 K) (eV/atom): 0.444

Entry 2:
# EuI

EuI after structural relaxation (PBE-GGA, Alexandria via LeMat-Bulk).

Unit cell a=4.0209 b=4.0209 c=4.0209 alpha=90.00 beta=90.00 gamma=90.00
Sites, in units of the cell vectors:
Eu 0.5000 0.5000 0.5000
I 0.0000 0.0000 0.0000

Computed properties:
Raw formation energy (eV per atom): -1.046

Entry 3:
# Rb2Na2Si3

Rb2Na2Si3 after structural relaxation (PBE-GGA, Alexandria via LeMat-Bulk).

Unit cell a=5.2432 b=7.8610 c=8.8593 alpha=134.03 beta=90.00 gamma=109.48
Sites, in units of the cell vectors:
Si 0.4678 0.9357 0.7113
Si 0.5000 0.0000 0.0000
Si 0.5322 0.0643 0.2887
Na 0.8528 0.7057 0.6930
Na 0.1472 0.2943 0.3070
Rb 0.1721 0.3443 0.7558
Rb 0.8279 0.6557 0.2442

Computed properties:
Raw formation energy (eV per atom): 0.095

Entry 4:
# CdSnIr2

CdSnIr2 after structural relaxation (PBE-GGA, Alexandria via LeMat-Bulk).

Unit cell a=3.6801 b=4.3167 c=4.3167 alpha=90.00 beta=90.00 gamma=90.00
Sites, in units of the cell vectors:
Ir 0.0000 0.0000 0.5000
Ir 0.0000 0.5000 0.0000
Sn 0.5000 0.5000 0.5000
Cd 0.5000 0.0000 0.0000

Computed properties:
ΔH_f (0 K) (eV/atom): 0.055

Entry 5:
# La3Nd2Er3

La3Nd2Er3 after structural relaxation (PBE-GGA, Alexandria via LeMat-Bulk).

Unit cell a=5.9872 b=6.0345 c=8.6849 alpha=110.33 beta=110.16 gamma=90.00
Sites, in units of the cell vectors:
Er 0.0000 0.0000 0.0000
Er 0.1199 0.6209 0.2399
Er 0.8801 0.3791 0.7601
Nd 0.2463 0.2476 0.4927
Nd 0.7537 0.7524 0.5073
La 0.3537 0.8544 0.7073
La 0.6463 0.1456 0.2927
La 0.5000 0.5000 0.0000

Computed properties:
Energy relative to the lowest polymorph listed for this composition (meV per atom): 89
ΔH_f (0 K) (eV/atom): 0.116

Entry 6:
# LiBe2H5

LiBe2H5 after structural relaxation (PBE-GGA, Alexandria via LeMat-Bulk).

Unit cell a=3.5293 b=5.8940 c=6.9806 alpha=90.00 beta=90.00 gamma=107.42
Sites, in units of the cell vectors:
H 0.0856 0.1713 0.5506
H 0.7143 0.4287 0.5800
H 0.2857 0.5713 0.0800
H 0.9144 0.8287 0.0506
H 0.7143 0.4287 0.9200
H 0.9144 0.8287 0.4494
H 0.7183 0.4366 0.2500
H 0.2817 0.5634 0.7500
H 0.0856 0.1713 0.9494
H 0.2857 0.5713 0.4200
Be 0.2084 0.4167 0.9191
Be 0.7916 0.5833 0.0809
Be 0.2084 0.4167 0.5809
Be 0.7916 0.5833 0.4191
Li 0.0259 0.0517 0.2500
Li 0.9741 0.9483 0.7500

Computed properties:
Total energy (eV per atom): -3.323